ZnSb2Ir (PBE, optimized geometry); symmetry = P4/mmm, No. 123; E_form (uncorrected) = 0.317 eV/atom; distance to the lowest polymorph of the same formula = 1.52 eV/f.u.
1.0
-1.618 -1.362 -4.041
-1.047 -4.065 1.789
-3.449 1.303 0.942
Sb Zn Ir
2 1 1
direct
0.000 0.000 0.000
0.500 0.500 0.000
0.500 0.000 0.500
0.000 0.500 0.500

=====

Zn4CdSb (PBE, optimized geometry); symmetry = F-43m, No. 216; E_form (uncorrected) = 0.149 eV/atom
1.0
0.000 3.833 3.833
3.833 0.000 3.833
3.833 3.833 0.000
Zn Cd Sb
4 1 1
direct
0.375 0.876 0.375
0.375 0.375 0.876
0.375 0.375 0.375
0.876 0.375 0.375
0.750 0.750 0.750
0.000 0.000 0.000

=====

AlAs2Rh (PBE, optimized geometry); symmetry = P4/mmm, No. 123
1.0
-0.401 3.024 -0.293
-0.374 -0.342 -3.023
-6.999 -0.836 0.960
Al Rh As
1 1 2
direct
0.500 0.500 0.750
0.500 0.500 0.250
0.000 0.000 0.473
0.000 0.000 0.027

=====

| no. | total DFT energy (no corrections) (eV/atom) | DOS(E_F) (states/eV/atom) |
| --- | --- | --- |
| 1 | -4.278 | 0.528 |
| 2 | -1.540 | 0.649 |
| 3 | -5.168 | 0.517 |